A plane-wave DFT calculation with PBE was carried out for a relaxed Re6W7 crystal.

Cell: 9.6781 9.6781 9.6781 Å, 30.70 30.70 30.70°
With the nearest neighbours (Å) after each atom.
Positions (direct):
W 0.5854 0.0882 0.0882  5 W 2.55-2.65, 3 Re 2.80-2.82
Re 0.4556 0.4556 0.4556  1 Re 2.46
Re 0.3459 0.3459 0.3459  12 W 2.94-3.16, 4 Re 3.03-3.04
W 0.9118 0.4146 0.9118  5 W 2.55-2.65, 3 Re 2.80-2.82
W 0.0000 0.0000 0.0000  6 W 2.65
Re 0.8324 0.8324 0.8324  6 W 2.80-2.86, 3 Re 2.96
W 0.9118 0.9118 0.4146  5 W 2.55-2.65, 3 Re 2.80-2.82
Re 0.1676 0.1676 0.1676  6 W 2.80-2.86, 3 Re 2.96
Re 0.5444 0.5444 0.5444  1 Re 2.46
W 0.0882 0.0882 0.5854  5 W 2.55-2.65, 3 Re 2.80-2.82
W 0.4146 0.9118 0.9118  5 W 2.55-2.65, 3 Re 2.80-2.82
Re 0.6541 0.6541 0.6541  12 W 2.94-3.16, 4 Re 3.03-3.04
W 0.0882 0.5854 0.0882  5 W 2.55-2.65, 3 Re 2.80-2.82

Summary:
Total magnetization: 0.00 Bohr magnetons per cell
E above lowest polymorph: 231 meV/atom
Electronic total energy: -12.320 eV/atom